Record 1
First-principles (PBE-GGA) data for a relaxed structure of BeRe2Ir, as listed in the Alexandria database.

Lattice parameters (Å, degrees): 4.267 4.267 4.267 60.00 60.00 60.00
Fractional positions:
Re (0.000, 0.000, 0.000)
Re (0.250, 0.250, 0.250)
Ir (0.750, 0.750, 0.750)
Be (0.500, 0.500, 0.500)

Results
**Total moment**: 0.0 μB/f.u.
**Energy of formation**: 8 kJ/mol of atoms

---

Record 2
First-principles (PBE-GGA) data for a relaxed structure of AlPbCl2, as listed in the Alexandria database.

Lattice parameters (Å, degrees): 6.565 6.565 6.565 142.46 142.46 54.14
Fractional positions:
Pb (0.500, 0.500, 0.000)
Al (0.750, 0.250, 0.500)
Cl (0.000, 0.000, 0.000)
Cl (0.250, 0.750, 0.500)

Results
**Total moment**: 0.0 μB/f.u.
**Polymorph energy (0 for the lowest one)**: 0.236 eV/atom
**Formation energy without anion corrections**: -0.3568 eV per atom

---

Record 3
First-principles (PBE-GGA) data for a relaxed structure of BaTl3Ru, as listed in the Alexandria database.

Lattice parameters (Å, degrees): 6.326 6.326 6.326 90.00 90.00 90.00
Each line ends with the local moment (μB).
Fractional positions:
Ru (0.500, 0.500, 0.500)  2.50
Tl (0.000, 0.500, 0.000)  -0.08
Tl (0.000, 0.000, 0.500)  -0.04
Tl (0.500, 0.000, 0.000)  -0.08
Ba (0.000, 0.000, 0.000)  -0.15

Results
**Total moment**: 1.9 μB/f.u.
**Polymorph energy (0 for the lowest one)**: 1.673 eV/atom
**Energy of formation**: 156 kJ/mol of atoms

---

Record 4
First-principles (PBE-GGA) data for a relaxed structure of ZrReAg, as listed in the Alexandria database.

Lattice parameters (Å, degrees): 7.408 7.241 2.830 82.21 75.55 22.24
Fractional positions:
Ag (0.996, 0.996, 0.004)
Re (0.330, 0.330, 0.670)
Zr (0.674, 0.674, 0.326)

Results
**Total moment**: 0.0 μB/f.u.
**Polymorph energy (0 for the lowest one)**: 0.000 eV/atom
**Energy of formation**: 25 kJ/mol of atoms

---

Record 5
First-principles (PBE-GGA) data for a relaxed structure of BaSr2Y, as listed in the Alexandria database.

Lattice parameters (Å, degrees): 3.949 3.949 12.982 90.00 90.00 109.46
Fractional positions:
Ba (0.500, 0.500, 0.731)
Sr (0.000, 0.000, 0.004)
Sr (0.500, 0.500, 0.269)
Y (0.000, 0.000, 0.496)

Results
**Total moment**: 0.0 μB/f.u.
**Polymorph energy (0 for the lowest one)**: 0.013 eV/atom
**Energy of formation**: 16 kJ/mol of atoms

---

Record 6
First-principles (PBE-GGA) data for a relaxed structure of MgReBr2, as listed in the Alexandria database.

Lattice parameters (Å, degrees): 9.135 9.135 9.135 21.44 21.44 21.44
Fractional positions:
Br (0.024, 0.024, 0.024)
Br (0.231, 0.231, 0.231)
Mg (0.498, 0.498, 0.498)
Re (0.747, 0.747, 0.747)

Results
**Total moment**: 0.0 μB/f.u.
**Polymorph energy (0 for the lowest one)**: 0.000 eV/atom
**Formation energy without anion corrections**: 0.0464 eV per atom